No. 1
# RbCd2Ga10 | Alexandria | PBE-GGA | relaxed
# Uncorrected energy: -131.5 eV for the cell shown
# E_form: 0.015 eV/atom
data_RbCd2Ga10
_cell_length_a 5.919
_cell_length_b 13.745
_cell_length_c 13.965
_cell_angle_alpha 90.00
_cell_angle_beta 90.00
_cell_angle_gamma 90.00
_symmetry_space_group_name_H-M 'F m m m'
_symmetry_Int_Tables_number 69
_symmetry_space_group_name_Hall '-F 2 2'
loop_
_atom_site_label
_atom_site_fract_x
_atom_site_fract_y
_atom_site_fract_z
_atom_site_occupancy
Rb1 0.000 0.000 0.000 1
Cd1 0.250 0.250 0.000 1
Ga1 0.000 0.107 0.384 1
Ga2 0.000 0.176 0.185 1
Ga3 0.250 0.000 0.250 1

---

No. 2
# Mn5CrTc2B2 | Alexandria | PBE-GGA | relaxed
# Uncorrected energy: -183.2 eV for the cell shown
# E_form: -0.202 eV/atom
data_Mn5CrTc2B2
_cell_length_a 8.631
_cell_length_b 8.631
_cell_length_c 2.808
_cell_angle_alpha 90.00
_cell_angle_beta 90.00
_cell_angle_gamma 90.00
_symmetry_space_group_name_H-M 'P 4/m b m'
_symmetry_Int_Tables_number 127
_symmetry_space_group_name_Hall '-P 4 2ab'
loop_
_atom_site_label
_atom_site_fract_x
_atom_site_fract_y
_atom_site_fract_z
_atom_site_occupancy
Mn1 0.000 0.500 0.000 1
Mn2 0.066 0.211 0.000 1
Cr1 0.000 0.000 0.500 1
Tc1 0.177 0.677 0.500 1
B1 0.123 0.377 0.500 1

---

No. 3
# HgAuN2F | Alexandria | PBE-GGA | relaxed
# Uncorrected energy: -13.9 eV for the cell shown
# Raw formation energy: 1.64 eV per atom
# Energy above the most stable polymorph in this dataset: 0.4247 eV/atom
data_HgAuN2F
_cell_length_a 4.275
_cell_length_b 4.275
_cell_length_c 4.589
_cell_angle_alpha 90.00
_cell_angle_beta 90.00
_cell_angle_gamma 90.00
_symmetry_space_group_name_H-M 'P 4/m m m'
_symmetry_Int_Tables_number 123
_symmetry_space_group_name_Hall '-P 4 2'
loop_
_atom_site_label
_atom_site_fract_x
_atom_site_fract_y
_atom_site_fract_z
_atom_site_occupancy
Hg1 0.000 0.000 0.000 1
Au1 0.500 0.500 0.500 1
N1 0.000 0.500 0.000 1
F1 0.000 0.000 0.500 1

---

No. 4
# Ti3GaIr3 | Alexandria | PBE-GGA | relaxed
# Uncorrected energy: -230.4 eV for the cell shown
# E_form: -0.614 eV/atom
data_Ti3GaIr3
_cell_length_a 7.658
_cell_length_b 7.658
_cell_length_c 7.658
_cell_angle_alpha 90.00
_cell_angle_beta 90.00
_cell_angle_gamma 90.00
_symmetry_space_group_name_H-M 'P 21 3'
_symmetry_Int_Tables_number 198
_symmetry_space_group_name_Hall 'P 2ac 2ab 3'
loop_
_atom_site_label
_atom_site_fract_x
_atom_site_fract_y
_atom_site_fract_z
_atom_site_occupancy
Ti1 0.117 0.383 0.617 1
Ti2 0.142 0.858 0.358 1
Ti3 0.224 0.224 0.224 1
Ga1 0.061 0.561 0.939 1
Ir1 0.028 0.201 0.899 1

---

No. 5
# Tc2AsW | Alexandria | PBE-GGA | relaxed
# Uncorrected energy: -73.3 eV for the cell shown
# E_form: 0.421 eV/atom
data_Tc2AsW
_cell_length_a 3.024
_cell_length_b 4.684
_cell_length_c 8.769
_cell_angle_alpha 90.00
_cell_angle_beta 90.00
_cell_angle_gamma 90.00
_symmetry_space_group_name_H-M 'C m m 2'
_symmetry_Int_Tables_number 35
loop_
_symmetry_equiv_pos_as_xyz
'x,y,z'
'-x,-y,z'
'-x,y,z'
'x,-y,z'
'x+1/2,y+1/2,z'
'-x+1/2,-y+1/2,z'
'-x+1/2,y+1/2,z'
'x+1/2,-y+1/2,z'
loop_
_atom_site_label
_atom_site_fract_x
_atom_site_fract_y
_atom_site_fract_z
_atom_site_occupancy
Tc1 0.000 0.000 0.000 1
Tc2 0.000 0.500 0.247 1
As1 0.000 0.500 0.754 1
W1 0.000 0.000 0.498 1

---

No. 6
# CsLiReF6 | Alexandria | PBE-GGA | relaxed
# Uncorrected energy: -191.0 eV for the cell shown
# Raw formation energy: -2.37 eV per atom
data_CsLiReF6
_cell_length_a 7.477
_cell_length_b 7.652
_cell_length_c 10.769
_cell_angle_alpha 90.00
_cell_angle_beta 90.00
_cell_angle_gamma 90.00
_symmetry_space_group_name_H-M 'I m m a'
_symmetry_Int_Tables_number 74
_symmetry_space_group_name_Hall '-I 2b 2'
loop_
_atom_site_label
_atom_site_fract_x
_atom_site_fract_y
_atom_site_fract_z
_atom_site_occupancy
Cs1 0.000 0.250 0.074 1
Li1 0.250 0.250 0.750 1
Re1 0.000 0.000 0.500 1
F1 0.000 0.250 0.433 1
F2 0.000 0.250 0.810 1
F3 0.194 0.045 0.618 1

---

No. 7
# La6NdSn | Alexandria | PBE-GGA | relaxed
# Uncorrected energy: -40.1 eV for the cell shown
# E_form: -0.217 eV/atom
data_La6NdSn
_cell_length_a 5.099
_cell_length_b 5.099
_cell_length_c 10.497
_cell_angle_alpha 90.00
_cell_angle_beta 90.00
_cell_angle_gamma 90.00
_symmetry_space_group_name_H-M 'P 4/m m m'
_symmetry_Int_Tables_number 123
_symmetry_space_group_name_Hall '-P 4 2'
loop_
_atom_site_label
_atom_site_fract_x
_atom_site_fract_y
_atom_site_fract_z
_atom_site_occupancy
La1 0.000 0.000 0.000 1
La2 0.000 0.000 0.500 1
La3 0.000 0.500 0.240 1
Nd1 0.500 0.500 0.500 1
Sn1 0.500 0.500 0.000 1

---

No. 8
# CsTaIO2 | Alexandria | PBE-GGA | relaxed
# Uncorrected energy: -17.5 eV for the cell shown
# Raw formation energy: 1.33 eV per atom
# Energy above the most stable polymorph in this dataset: 2.4524 eV/atom
data_CsTaIO2
_cell_length_a 4.299
_cell_length_b 4.299
_cell_length_c 7.550
_cell_angle_alpha 90.00
_cell_angle_beta 90.00
_cell_angle_gamma 90.00
_symmetry_space_group_name_H-M 'P 4/m m m'
_symmetry_Int_Tables_number 123
_symmetry_space_group_name_Hall '-P 4 2'
loop_
_atom_site_label
_atom_site_fract_x
_atom_site_fract_y
_atom_site_fract_z
_atom_site_occupancy
Cs1 0.000 0.000 0.000 1
Ta1 0.500 0.500 0.500 1
I1 0.000 0.000 0.500 1
O1 0.000 0.500 0.000 1